# VNiGe PBE optimized geometry
data_VNiGe
_symmetry_space_group_name_H-M 'P -6 m 2'
_symmetry_Int_Tables_number 187
_symmetry_space_group_name_Hall 'P -6 2'
_cell_length_a 4.0505
_cell_length_b 4.0505
_cell_length_c 2.7445
_cell_angle_alpha 90.00
_cell_angle_beta 90.00
_cell_angle_gamma 120.00
loop_
_atom_site_label
_atom_site_type_symbol
_atom_site_fract_x
_atom_site_fract_y
_atom_site_fract_z
V1 V 0.0000 0.0000 0.0000
Ni1 Ni 0.6667 0.3333 0.5000
Ge1 Ge 0.3333 0.6667 0.5000
# total magnetization	0.001	Bohr magnetons per cell
# energy relative to the elements	-0.27	eV/atom